# TiSb2TePt PBEsol relaxed
# energy: -4.980 eV/atom
# calculated density: 7.309 Mg/m³
# total magnetization: 1.813 μB per cell
# formation energy (no corrections): 0.61 eV per atom
data_TiSb2TePt
_symmetry_space_group_name_H-M 'P 4/m m m'
_symmetry_Int_Tables_number 123
_symmetry_space_group_name_Hall '-P 4 2'
_cell_length_a 5.102
_cell_length_b 5.102
_cell_length_c 5.360
_cell_angle_alpha 90.00
_cell_angle_beta 90.00
_cell_angle_gamma 90.00
loop_
_atom_site_label
_atom_site_type_symbol
_atom_site_fract_x
_atom_site_fract_y
_atom_site_fract_z
Ti1 Ti 0.000 0.000 0.000
Sb1 Sb 0.000 0.500 0.500
Te1 Te 0.500 0.500 0.000
Pt1 Pt 0.500 0.500 0.500